CoHg2BS after structural relaxation. Source: Alexandria via LeMat-Bulk, functional PBE-GGA.

The calculation puts the raw total energy at -2.88 eV per atom.

The structure belongs to space group P4/mmm (No. 123); the cell edges are 5.073, 5.073 and 3.735 Å and the angles 90.00°, 90.00° and 90.00°. Symmetry generates all atoms from Co at (0.000, 0.000, 0.000), Hg at (0.000, 0.500, 0.000), B at (0.000, 0.000, 0.500) and S at (0.500, 0.500, 0.500).